# 1
# CuNiAgSn

A geometry-optimized CuNiAgSn structure (PBE, OQMD).

a b c (Å): 6.266 6.266 6.266
angles (deg): 90.00 90.00 90.00
Space group F-43m (No. 216)
Symmetry-distinct sites (fractional):
Cu 0.000 0.000 0.000
Ni 0.000 0.000 0.500
Ag 0.250 0.250 0.250
Sn 0.250 0.250 0.750

V, Å³ per atom: 15.4
Raw total energy, eV/atom: -4.03

---

# 2
# CuNiAgW

A geometry-optimized CuNiAgW structure (PBE, OQMD).

a b c (Å): 6.039 6.039 6.039
angles (deg): 90.00 90.00 90.00
Space group F-43m (No. 216)
Symmetry-distinct sites (fractional):
Cu 0.000 0.000 0.000
Ni 0.000 0.000 0.500
Ag 0.250 0.250 0.250
W 0.250 0.250 0.750

V, Å³ per atom: 13.8
Raw total energy, eV/atom: -5.85

---

# 3
# CuNiAgW

A geometry-optimized CuNiAgW structure (PBE, OQMD).

a b c (Å): 6.088 6.088 6.088
angles (deg): 90.00 90.00 90.00
Space group F-43m (No. 216)
Symmetry-distinct sites (fractional):
Cu 0.000 0.000 0.000
Ni 0.250 0.250 0.250
Ag 0.250 0.250 0.750
W 0.000 0.000 0.500

V, Å³ per atom: 14.1
Raw total energy, eV/atom: -5.71

---

# 4
# ZnCuNiAg

A geometry-optimized ZnCuNiAg structure (PBE, OQMD).

a b c (Å): 6.012 6.012 6.012
angles (deg): 90.00 90.00 90.00
Space group F-43m (No. 216)
Symmetry-distinct sites (fractional):
Zn 0.000 0.000 0.000
Cu 0.250 0.250 0.250
Ni 0.250 0.250 0.750
Ag 0.000 0.000 0.500

V, Å³ per atom: 13.6
Raw total energy, eV/atom: -3.31